[1]
Below is a relaxed structure of ZnCd3Ga, with properties calculated at the PBE-GGA level.

Lattice parameters (Å, degrees): 5.078 5.078 5.078 90.00 90.00 90.00
Fractional positions:
1 Zn 0.000 0.000 0.000
2 Cd 0.000 0.500 0.000
3 Cd 0.500 0.000 0.000
4 Cd 0.000 0.000 0.500
5 Ga 0.500 0.500 0.500

Output
Volume, Å³/cell: 130.9
M_tot, μB per formula unit: 0.0
Energy relative to the elements, eV per atom: 0.30

***

[2]
Below is a relaxed structure of ZnCdGa2, with properties calculated at the PBE-GGA level.

Lattice parameters (Å, degrees): 4.125 4.125 9.840 77.90 77.90 90.00
Fractional positions:
1 Zn 0.250 0.750 0.500
2 Zn 0.500 0.500 0.000
3 Cd 0.750 0.250 0.500
4 Cd 0.000 0.000 0.000
5 Ga 0.375 0.397 0.750
6 Ga 0.603 0.125 0.250
7 Ga 0.875 0.853 0.750
8 Ga 0.147 0.625 0.250

Output
Volume, Å³/cell: 159.9
M_tot, μB per formula unit: 0.0
Energy relative to the elements, eV per atom: 0.10

***

[3]
Below is a relaxed structure of ZnCdGa2, with properties calculated at the PBE-GGA level.

Lattice parameters (Å, degrees): 3.037 3.037 8.230 90.00 90.00 90.00
Fractional positions:
1 Cd 0.500 0.500 0.500
2 Ga 0.000 0.000 0.229
3 Ga 0.000 0.000 0.771
4 Zn 0.500 0.500 0.000

Output
Volume, Å³/cell: 75.9
M_tot, μB per formula unit: 0.0
Energy relative to the elements, eV per atom: 0.06

***

[4]
Below is a relaxed structure of Zn6CdGa, with properties calculated at the PBE-GGA level.

Lattice parameters (Å, degrees): 4.549 5.420 5.419 90.00 90.00 90.00
Fractional positions:
1 Zn 0.500 0.833 0.253
2 Zn 0.000 0.170 0.258
3 Zn 0.500 0.276 0.000
4 Zn 0.000 0.724 0.500
5 Zn 0.000 0.170 0.742
6 Zn 0.500 0.833 0.747
7 Ga 0.500 0.354 0.500
8 Cd 0.000 0.639 0.000

Output
Volume, Å³/cell: 133.6
M_tot, μB per formula unit: 0.0
Energy relative to the elements, eV per atom: 0.05

***

[5]
Below is a relaxed structure of Zn4CdGa4, with properties calculated at the PBE-GGA level.

Lattice parameters (Å, degrees): 4.973 6.245 6.245 80.88 66.54 66.54
Fractional positions:
1 Zn 0.353 0.587 0.708
2 Zn 0.647 0.413 0.292
3 Zn 0.060 0.292 0.587
4 Zn 0.940 0.708 0.413
5 Ga 0.282 0.335 0.100
6 Ga 0.383 0.900 0.335
7 Ga 0.617 0.100 0.665
8 Ga 0.718 0.665 0.900
9 Cd 0.000 0.000 0.000

Output
Volume, Å³/cell: 163.2
M_tot, μB per formula unit: 0.0
Energy relative to the elements, eV per atom: 0.08

***

[6]
Below is a relaxed structure of ZnCd3Ga, with properties calculated at the PBE-GGA level.

Lattice parameters (Å, degrees): 5.938 5.829 12.446 94.24 90.00 90.00
Fractional positions:
1 Cd 0.257 0.582 0.481
2 Cd 0.284 0.886 0.928
3 Cd 0.716 0.886 0.428
4 Cd 0.743 0.582 0.981
5 Cd 0.743 0.418 0.519
6 Cd 0.257 0.418 0.019
7 Cd 0.499 0.272 0.797
8 Cd 0.499 0.728 0.703
9 Cd 0.716 0.114 0.072
10 Cd 0.501 0.272 0.297
11 Cd 0.284 0.114 0.572
12 Cd 0.501 0.728 0.203
13 Zn 0.830 0.933 0.854
14 Zn 0.830 0.067 0.646
15 Zn 0.170 0.067 0.146
16 Zn 0.170 0.933 0.354
17 Ga 0.976 0.669 0.185
18 Ga 0.024 0.331 0.815
19 Ga 0.024 0.669 0.685
20 Ga 0.976 0.331 0.315

Output
Volume, Å³/cell: 429.6
M_tot, μB per formula unit: 0.0
Energy relative to the elements, eV per atom: 0.08

***

[7]
Below is a relaxed structure of Zn4Cd2Ga5, with properties calculated at the PBE-GGA level.

Lattice parameters (Å, degrees): 5.497 6.774 6.775 71.22 66.07 66.07
Fractional positions:
1 Zn 0.755 0.576 0.913
2 Zn 0.756 0.913 0.576
3 Zn 0.245 0.424 0.087
4 Zn 0.244 0.087 0.424
5 Ga 0.753 0.173 0.827
6 Ga 0.247 0.827 0.173
7 Ga 0.247 0.173 0.827
8 Ga 0.753 0.827 0.173
9 Ga 0.000 0.500 0.500
10 Cd 0.334 0.666 0.666
11 Cd 0.666 0.334 0.334

Output
Volume, Å³/cell: 207.0
M_tot, μB per formula unit: 0.0
Energy relative to the elements, eV per atom: 0.07

***

[8]
Below is a relaxed structure of ZnCdGa2, with properties calculated at the PBE-GGA level.

Lattice parameters (Å, degrees): 4.290 4.290 5.721 67.98 67.98 60.00
Fractional positions:
1 Ga 0.062 0.062 0.813
2 Ga 0.270 0.270 0.190
3 Cd 0.492 0.492 0.523
4 Zn 0.675 0.675 0.974

Output
Volume, Å³/cell: 82.2
M_tot, μB per formula unit: 0.0
Energy relative to the elements, eV per atom: 0.08